Record 1
{"formula": "YHfCo2", "functional": "GGA-PBE", "state": "optimized geometry", "lattice": [[0.000, 3.252, 3.252], [3.252, 0.000, 3.252], [3.252, 3.252, 0.000]], "species": ["Co", "Co", "Y", "Hf"], "fractional_positions": [[0.250, 0.250, 0.250], [0.750, 0.750, 0.750], [0.000, 0.000, 0.000], [0.500, 0.500, 0.500]], "energy_ev_per_atom": -7.860, "de_polymorph_kj_per_mol_atoms": 7.2, "space_group": "No. 225", "ef_ev_per_atom": -0.202}



Record 2
{"formula": "Y2HfCo2", "functional": "GGA-PBE", "state": "optimized geometry", "lattice": [[6.683, 0.000, 0.000], [0.000, 6.683, 0.000], [0.000, 0.000, 4.530]], "species": ["Y", "Y", "Y", "Y", "Co", "Co", "Co", "Co", "Hf", "Hf"], "fractional_positions": [[0.179, 0.679, 0.500], [0.679, 0.821, 0.500], [0.821, 0.321, 0.500], [0.321, 0.179, 0.500], [0.881, 0.619, 0.000], [0.381, 0.881, 0.000], [0.119, 0.381, 0.000], [0.619, 0.119, 0.000], [0.500, 0.500, 0.000], [0.000, 0.000, 0.000]], "energy_ev_per_atom": -7.584, "de_polymorph_kj_per_mol_atoms": 6.4, "space_group": "No. 127", "ef_ev_per_atom": -0.165}



Theoretical density / kg/m3: 9299, 7784